Record 1
Material: NiAs6Os2
Method: DFT, PBE
State: optimized geometry

For the total energy, the calculation gives -109.68 eV per cell. Its calculated density is 8.32 g cm⁻³. The formation enthalpy at 0 K is 125 kJ/mol of formula units.

a = 5.6223 Å, b = 5.6223 Å, c = 11.2255 Å
α = 90.00°, β = 90.00°, γ = 90.00°
Space group P4_2/mnm (No. 136)
Unique sites:
Ni: 0.0000 0.0000 0.0000 x2
As: 0.1949 0.1949 0.1638 x8
As: 0.2072 0.2072 0.5000 x4
Os: 0.0000 0.0000 0.3302 x4

Record 2
Material: Ni2AsOsPb
Method: DFT, PBE
State: optimized geometry

For the total energy, the calculation gives -25.05 eV per cell. Its calculated density is 8.95 g cm⁻³. The formation enthalpy at 0 K is 588 kJ/mol of formula units.

a = 4.5802 Å, b = 4.5802 Å, c = 5.2155 Å
α = 90.00°, β = 90.00°, γ = 90.00°
Space group P4/mmm (No. 123)
Unique sites:
Ni: 0.0000 0.5000 0.0000 x2
As: 0.0000 0.0000 0.5000 x1
Os: 0.5000 0.5000 0.0000 x1
Pb: 0.5000 0.5000 0.5000 x1

Record 3
Material: NiAs2OsSe
Method: DFT, PBE
State: optimized geometry

For the total energy, the calculation gives -24.80 eV per cell. Its calculated density is 6.83 g cm⁻³. The uncorrected formation energy is 5.0 eV per formula unit.

a = 4.6224 Å, b = 4.6224 Å, c = 5.4379 Å
α = 90.00°, β = 90.00°, γ = 90.00°
Space group P4/mmm (No. 123)
Unique sites:
Ni: 0.0000 0.0000 0.0000 x1
As: 0.0000 0.5000 0.5000 x2
Os: 0.5000 0.5000 0.5000 x1
Se: 0.5000 0.5000 0.0000 x1